# Sm3DyY6

Crystalline Sm3DyY6 at its relaxed geometry (PBE-GGA, the Alexandria database).

The value obtained for the density of states at the Fermi level is 14.62 states/eV/f.u. The raw total energy comes out at -5.611 eV/atom. The energy above the lowest structure with this stoichiometry is 33 meV per atom.

Unit cell a=10.9741 b=18.9244 c=6.3779 alpha=90.00 beta=90.00 gamma=90.00
With the nearest neighbours (Å) after each atom.
Space group Cmc2_1 (No. 36)
Asymmetric unit:
Sm 0.0000 0.1123 0.0000 x4  7 Y 3.43-3.78, 1 Dy 3.62, 2 Sm 3.64
Sm 0.1750 0.3871 0.3879 x8  1 Dy 3.22, 6 Y 3.32-3.55
Dy 0.0000 0.3019 0.0703 x4  2 Sm 3.22, 7 Y 3.35-3.57
Y 0.0000 0.2278 0.5857 x4  4 Y 3.23-3.38, 2 Dy 3.39-3.57, 1 Sm 3.43
Y 0.0000 0.4576 0.8068 x4  1 Dy 3.39, 4 Sm 3.55, 2 Y 3.57
Y 0.1660 0.0446 0.4781 x8  4 Sm 3.40-3.78, 4 Y 3.40-3.64
Y 0.2399 0.2084 0.2982 x8  5 Y 3.23-3.56, 2 Sm 3.32-3.50, 2 Dy 3.35-3.49